# MoPPd3

An optimized crystal structure of MoPPd3 (PBE, Alexandria).

Volume = 18.0 Å³/atom
Energy relative to the elements = 1.9 eV/f.u.

CIF file:
```
data_MoPPd3
_cell_length_a 4.485
_cell_length_b 4.485
_cell_length_c 4.485
_cell_angle_alpha 90.00
_cell_angle_beta 90.00
_cell_angle_gamma 90.00
_space_group_name_H-M_alt 'P 1'
_space_group_IT_number 1
loop_
_space_group_symop_operation_xyz
'x,y,z'
loop_
_atom_site_label
_atom_site_type_symbol
_atom_site_fract_x
_atom_site_fract_y
_atom_site_fract_z
Mo1 Mo 0.500 0.500 0.500
Pd1 Pd 0.000 0.000 0.500
Pd2 Pd 0.000 0.500 0.000
Pd3 Pd 0.500 0.000 0.000
P1 P 0.000 0.000 0.000
```

***

# LiPaAu2

An optimized crystal structure of LiPaAu2 (PBE, Alexandria).

Volume = 20.7 Å³/atom
Energy relative to the elements = -1.4 eV/f.u.

CIF file:
```
data_LiPaAu2
_cell_length_a 4.896
_cell_length_b 4.896
_cell_length_c 4.896
_cell_angle_alpha 60.00
_cell_angle_beta 60.00
_cell_angle_gamma 60.00
_space_group_name_H-M_alt 'P 1'
_space_group_IT_number 1
loop_
_space_group_symop_operation_xyz
'x,y,z'
loop_
_atom_site_label
_atom_site_type_symbol
_atom_site_fract_x
_atom_site_fract_y
_atom_site_fract_z
Au1 Au 0.250 0.250 0.250
Li1 Li 0.500 0.500 0.500
Pa1 Pa 0.000 0.000 0.000
Au2 Au 0.750 0.750 0.750
```

***

# Hg2PdBr4

An optimized crystal structure of Hg2PdBr4 (PBE, Alexandria).

Volume = 28.9 Å³/atom
ΔE_f (raw) = -0.19 eV per atom

CIF file:
```
data_Hg2PdBr4
_cell_length_a 5.467
_cell_length_b 5.467
_cell_length_c 7.797
_cell_angle_alpha 69.48
_cell_angle_beta 69.48
_cell_angle_gamma 90.00
_space_group_name_H-M_alt 'P 1'
_space_group_IT_number 1
loop_
_space_group_symop_operation_xyz
'x,y,z'
loop_
_atom_site_label
_atom_site_type_symbol
_atom_site_fract_x
_atom_site_fract_y
_atom_site_fract_z
Br1 Br 0.000 0.500 0.000
Br2 Br 0.500 0.000 0.000
Br3 Br 0.195 0.195 0.610
Br4 Br 0.805 0.805 0.390
Pd1 Pd 0.000 0.000 0.000
Hg1 Hg 0.387 0.387 0.226
Hg2 Hg 0.613 0.613 0.774
```

***

# LaCePm6Sm2

An optimized crystal structure of LaCePm6Sm2 (PBE, Alexandria).

Volume = 34.7 Å³/atom
Energy relative to the elements = 2.3 eV/f.u.

CIF file:
```
data_LaCePm6Sm2
_cell_length_a 9.014
_cell_length_b 6.915
_cell_length_c 6.700
_cell_angle_alpha 121.06
_cell_angle_beta 102.28
_cell_angle_gamma 90.00
_space_group_name_H-M_alt 'P 1'
_space_group_IT_number 1
loop_
_space_group_symop_operation_xyz
'x,y,z'
loop_
_atom_site_label
_atom_site_type_symbol
_atom_site_fract_x
_atom_site_fract_y
_atom_site_fract_z
Sm1 Sm 0.839 0.911 0.821
Pm1 Pm 0.197 0.587 0.651
Ce1 Ce 0.000 0.500 0.000
Pm2 Pm 0.584 0.372 0.745
La1 La 0.500 0.000 0.000
Pm3 Pm 0.803 0.937 0.349
Pm4 Pm 0.197 0.063 0.651
Pm5 Pm 0.416 0.628 0.255
Pm6 Pm 0.803 0.413 0.349
Sm2 Sm 0.161 0.089 0.179
```

***

# Ce4InS8

An optimized crystal structure of Ce4InS8 (PBE, Alexandria).

Volume = 29.8 Å³/atom
ΔE_f (raw) = -1.61 eV per atom

CIF file:
```
data_Ce4InS8
_cell_length_a 8.316
_cell_length_b 8.316
_cell_length_c 7.693
_cell_angle_alpha 105.09
_cell_angle_beta 106.44
_cell_angle_gamma 119.83
_space_group_name_H-M_alt 'P 1'
_space_group_IT_number 1
loop_
_space_group_symop_operation_xyz
'x,y,z'
loop_
_atom_site_label
_atom_site_type_symbol
_atom_site_fract_x
_atom_site_fract_y
_atom_site_fract_z
S1 S 0.191 0.031 0.222
S2 S 0.809 0.969 0.778
S3 S 0.293 0.961 0.785
S4 S 0.707 0.039 0.215
Ce1 Ce 0.246 0.246 0.000
Ce2 Ce 0.754 0.754 0.000
In1 In 0.000 0.500 0.500
S5 S 0.176 0.508 0.215
Ce3 Ce 0.270 0.772 0.041
S6 S 0.311 0.493 0.804
S7 S 0.824 0.492 0.785
Ce4 Ce 0.730 0.228 0.959
S8 S 0.689 0.507 0.196
```

***

# RbHgI3

An optimized crystal structure of RbHgI3 (PBE, Alexandria).

Volume = 48.5 Å³/atom
ΔE_f (raw) = -0.77 eV per atom

CIF file:
```
data_RbHgI3
_cell_length_a 5.867
_cell_length_b 9.268
_cell_length_c 9.272
_cell_angle_alpha 74.18
_cell_angle_beta 89.10
_cell_angle_gamma 89.10
_space_group_name_H-M_alt 'P 1'
_space_group_IT_number 1
loop_
_space_group_symop_operation_xyz
'x,y,z'
loop_
_atom_site_label
_atom_site_type_symbol
_atom_site_fract_x
_atom_site_fract_y
_atom_site_fract_z
Rb1 Rb 0.515 0.731 0.170
Rb2 Rb 0.970 0.173 0.612
I1 I 0.992 0.556 0.995
Hg1 Hg 0.742 0.636 0.707
I2 I 0.995 0.615 0.457
I3 I 0.995 0.018 0.054
I4 I 0.490 0.886 0.729
I5 I 0.490 0.289 0.325
Hg2 Hg 0.742 0.268 0.075
I6 I 0.492 0.349 0.787
```

***

# CeUPtAu

An optimized crystal structure of CeUPtAu (PBE, Alexandria).

Volume = 20.3 Å³/atom
Energy relative to the elements = -2.3 eV/f.u.

CIF file:
```
data_CeUPtAu
_cell_length_a 4.862
_cell_length_b 4.862
_cell_length_c 4.862
_cell_angle_alpha 60.00
_cell_angle_beta 60.00
_cell_angle_gamma 60.00
_space_group_name_H-M_alt 'P 1'
_space_group_IT_number 1
loop_
_space_group_symop_operation_xyz
'x,y,z'
loop_
_atom_site_label
_atom_site_type_symbol
_atom_site_fract_x
_atom_site_fract_y
_atom_site_fract_z
Pt1 Pt 0.250 0.250 0.250
Ce1 Ce 0.750 0.750 0.750
Au1 Au 0.500 0.500 0.500
U1 U 0.000 0.000 0.000
```

***

# Hf2SnIr

An optimized crystal structure of Hf2SnIr (PBE, Alexandria).

Volume = 21.6 Å³/atom
Energy relative to the elements = 0.6 eV/f.u.

CIF file:
```
data_Hf2SnIr
_cell_length_a 4.226
_cell_length_b 4.226
_cell_length_c 10.121
_cell_angle_alpha 77.95
_cell_angle_beta 77.95
_cell_angle_gamma 90.00
_space_group_name_H-M_alt 'P 1'
_space_group_IT_number 1
loop_
_space_group_symop_operation_xyz
'x,y,z'
loop_
_atom_site_label
_atom_site_type_symbol
_atom_site_fract_x
_atom_site_fract_y
_atom_site_fract_z
Hf1 Hf 0.628 0.125 0.250
Ir1 Ir 0.000 0.000 0.000
Sn1 Sn 0.500 0.500 0.000
Hf2 Hf 0.875 0.878 0.750
Sn2 Sn 0.250 0.750 0.500
Ir2 Ir 0.750 0.250 0.500
Hf3 Hf 0.122 0.625 0.250
Hf4 Hf 0.375 0.372 0.750
```

***

# InIr2Rh

An optimized crystal structure of InIr2Rh (PBE, Alexandria).

Volume = 15.7 Å³/atom
Energy relative to the elements = 0.0 eV/f.u.

CIF file:
```
data_InIr2Rh
_cell_length_a 4.849
_cell_length_b 4.849
_cell_length_c 4.860
_cell_angle_alpha 79.76
_cell_angle_beta 79.76
_cell_angle_gamma 34.06
_space_group_name_H-M_alt 'P 1'
_space_group_IT_number 1
loop_
_space_group_symop_operation_xyz
'x,y,z'
loop_
_atom_site_label
_atom_site_type_symbol
_atom_site_fract_x
_atom_site_fract_y
_atom_site_fract_z
Rh1 Rh 0.500 0.500 0.000
Ir1 Ir 0.752 0.752 0.233
In1 In 0.000 0.000 0.500
Ir2 Ir 0.248 0.248 0.767
```

***

# ZnTe2NCl

An optimized crystal structure of ZnTe2NCl (PBE, Alexandria).

Volume = 25.1 Å³/atom
ΔE_f (raw) = 1.29 eV per atom

CIF file:
```
data_ZnTe2NCl
_cell_length_a 6.188
_cell_length_b 6.188
_cell_length_c 3.277
_cell_angle_alpha 90.00
_cell_angle_beta 90.00
_cell_angle_gamma 90.00
_space_group_name_H-M_alt 'P 1'
_space_group_IT_number 1
loop_
_space_group_symop_operation_xyz
'x,y,z'
loop_
_atom_site_label
_atom_site_type_symbol
_atom_site_fract_x
_atom_site_fract_y
_atom_site_fract_z
N1 N 0.000 0.000 0.500
Zn1 Zn 0.500 0.500 0.500
Cl1 Cl 0.000 0.000 0.000
Te1 Te 0.500 0.000 0.000
Te2 Te 0.000 0.500 0.000
```

***

# HoHgCl3

An optimized crystal structure of HoHgCl3 (PBE, Alexandria).

Volume = 30.0 Å³/atom
ΔE_f (raw) = -1.70 eV per atom

CIF file:
```
data_HoHgCl3
_cell_length_a 5.311
_cell_length_b 5.311
_cell_length_c 5.311
_cell_angle_alpha 90.00
_cell_angle_beta 90.00
_cell_angle_gamma 90.00
_space_group_name_H-M_alt 'P 1'
_space_group_IT_number 1
loop_
_space_group_symop_operation_xyz
'x,y,z'
loop_
_atom_site_label
_atom_site_type_symbol
_atom_site_fract_x
_atom_site_fract_y
_atom_site_fract_z
Cl1 Cl 0.000 0.500 0.000
Hg1 Hg 0.500 0.500 0.500
Cl2 Cl 0.500 0.000 0.000
Cl3 Cl 0.000 0.000 0.500
Ho1 Ho 0.000 0.000 0.000
```

***

# CsFeHgPt2

An optimized crystal structure of CsFeHgPt2 (PBE, Alexandria).

Volume = 28.0 Å³/atom
Energy relative to the elements = 4.9 eV/f.u.

CIF file:
```
data_CsFeHgPt2
_cell_length_a 5.281
_cell_length_b 5.026
_cell_length_c 5.281
_cell_angle_alpha 90.00
_cell_angle_beta 90.00
_cell_angle_gamma 90.00
_space_group_name_H-M_alt 'P 1'
_space_group_IT_number 1
loop_
_space_group_symop_operation_xyz
'x,y,z'
loop_
_atom_site_label
_atom_site_type_symbol
_atom_site_fract_x
_atom_site_fract_y
_atom_site_fract_z
Cs1 Cs 0.500 0.500 0.500
Pt1 Pt 0.500 0.000 0.000
Fe1 Fe 0.000 0.500 0.000
Pt2 Pt 0.000 0.000 0.500
Hg1 Hg 0.000 0.000 0.000
```